Material: CaTl2Se
Method: DFT, PBE
State: optimized geometry

Output
**Energy relative to the elements, uncorrected**: -0.434 eV/atom

a b c (Å): 5.4032 5.4032 5.4032
angles (deg): 60.00 60.00 60.00
Positions (direct):
Ca 0.0000 0.0000 0.0000
Tl 0.5000 0.5000 0.5000
Tl 0.7500 0.7500 0.7500
Se 0.2500 0.2500 0.2500



Material: Sm4HoAl
Method: DFT, PBE
State: optimized geometry

Output
**Formation enthalpy at 0 K**: -0.03 eV/atom

a b c (Å): 8.2934 8.2934 6.3296
angles (deg): 100.12 100.12 115.43
Positions (direct):
Sm 0.0844 0.7161 0.9535
Sm 0.1671 0.3949 0.6248
Sm 0.2839 0.9156 0.5465
Sm 0.3949 0.1671 0.1248
Sm 0.6051 0.8329 0.8752
Sm 0.7161 0.0844 0.4535
Sm 0.8329 0.6051 0.3752
Sm 0.9156 0.2839 0.0465
Ho 0.4086 0.5914 0.2500
Ho 0.5914 0.4086 0.7500
Al 0.9997 0.0003 0.2500
Al 0.0003 0.9997 0.7500



Material: PPb2W
Method: DFT, PBE
State: optimized geometry

Output
**Formation enthalpy at 0 K**: 1.12 eV/atom

a b c (Å): 3.5365 4.7093 5.2291
angles (deg): 90.00 90.00 90.00
Positions (direct):
P 0.0000 0.0000 0.0000
Pb 0.0000 0.5000 0.5000
Pb 0.5000 0.5000 0.0000
W 0.5000 0.0000 0.5000



Summary of Fermi-level density of states in states/eV/cell
3.8 16.4 3.9
(order as listed above)
Summary of total magnetic moment in μB/atom
0.000 0.000 0.218
(order as listed above)